PrY6Te8 | PBE-GGA | relaxed

a b c (Å): 8.711 8.711 8.711
angles (deg): 60.00 60.00 60.00
Sites, in units of the cell vectors:
Pr 0.000 0.000 0.000
Y 0.000 0.000 0.500
Y 0.000 0.500 0.000
Y 0.000 0.500 0.500
Y 0.500 0.000 0.000
Y 0.500 0.000 0.500
Y 0.500 0.500 0.000
Te 0.250 0.250 0.250
Te 0.262 0.262 0.738
Te 0.262 0.738 0.262
Te 0.262 0.738 0.738
Te 0.738 0.262 0.262
Te 0.738 0.262 0.738
Te 0.738 0.738 0.262
Te 0.750 0.750 0.750

SG	Fm-3m (225)
raw formation energy	-1.3952	eV per atom